# 1
DFT (PBE-GGA) results for crystalline Ta2Tl2Cu at its relaxed geometry.

a b c (Å): 3.7754 3.7754 8.2215
angles (deg): 76.73 76.73 90.00
Positions (direct):
Tl 0.4060 0.4060 0.1879
Tl 0.5940 0.5940 0.8121
Cu 0.0000 0.0000 0.0000
Ta 0.7500 0.2500 0.5000
Ta 0.2500 0.7500 0.5000

Summary:
* formation energy from the elements: 0.854 eV per atom
* DOS at the Fermi energy: 5.8 states/eV per cell
* space group: I4/mmm, No. 139
* raw total energy: -28.3 eV for the cell shown



# 2
DFT (PBE-GGA) results for crystalline Ta2TlCu at its relaxed geometry.

a b c (Å): 4.0911 3.0264 6.1531
angles (deg): 75.58 90.00 90.00
Positions (direct):
Cu 0.5000 0.5501 0.7820
Ta 0.0000 0.9470 0.9822
Ta 0.5000 0.3221 0.2295
Tl 0.0000 0.6808 0.5062

Summary:
* formation energy from the elements: 0.362 eV per atom
* DOS at the Fermi energy: 2.7 states/eV per cell
* space group: Pm, No. 6
* raw total energy: -28.7 eV for the cell shown



# 3
DFT (PBE-GGA) results for crystalline TaTlCu2 at its relaxed geometry.

a b c (Å): 4.2118 2.8970 5.6235
angles (deg): 75.00 90.00 90.00
Positions (direct):
Cu 0.0000 0.1843 0.0080
Cu 0.5000 0.0577 0.2595
Ta 0.0000 0.4604 0.4530
Tl 0.5000 0.7976 0.7795

Summary:
* formation energy from the elements: 0.396 eV per atom
* DOS at the Fermi energy: 2.0 states/eV per cell
* space group: Pm, No. 6
* raw total energy: -20.8 eV for the cell shown



Number 2 is which compound?
Ta2TlCu



Among the records above, which one has the lowest formation energy from the elements?
Ta2TlCu



What did the third record say?
DFT (PBE-GGA) results for crystalline TaTlCu2 at its relaxed geometry.

a b c (Å): 4.2118 2.8970 5.6235
angles (deg): 75.00 90.00 90.00
Positions (direct):
Cu 0.0000 0.1843 0.0080
Cu 0.5000 0.0577 0.2595
Ta 0.0000 0.4604 0.4530
Tl 0.5000 0.7976 0.7795

Summary:
* formation energy from the elements: 0.396 eV per atom
* DOS at the Fermi energy: 2.0 states/eV per cell
* space group: Pm, No. 6
* raw total energy: -20.8 eV for the cell shown